Entry 1
The following is a PBE calculation of an optimized crystal structure of SrNbTe2N, from Alexandria via LeMat-Bulk.

- crystal system = tetragonal
- volume (Å³/cell) = 130
- size of the total moment (μB/f.u.) = 0.00

Unit cell a=5.702 b=5.702 c=4.002 alpha=90.00 beta=90.00 gamma=90.00
Space group P4/mmm (No. 123)
Symmetry-distinct sites (fractional):
Sr 0.000 0.000 0.000
Nb 0.500 0.500 0.500
Te 0.000 0.500 0.500
N 0.500 0.500 0.000

***

Entry 2
The following is a PBE calculation of an optimized crystal structure of SrNbTe2N, from Alexandria via LeMat-Bulk.

- crystal system = tetragonal
- volume (Å³/cell) = 156
- size of the total moment (μB/f.u.) = 3.67

Unit cell a=6.033 b=6.033 c=4.286 alpha=90.00 beta=90.00 gamma=90.00
Space group P4/mmm (No. 123)
Symmetry-distinct sites (fractional):
Sr 0.000 0.000 0.000
Nb 0.500 0.500 0.500
Te 0.000 0.500 0.000
N 0.000 0.000 0.500

***

Least stable: entry 2